# 1
A relaxed Li3As5Se12 crystal, computed with PBE.

Unit cell a=13.8000 b=13.8000 c=13.8000 alpha=109.47 beta=109.47 gamma=109.47
With the nearest neighbours (Å) after each atom.
Fractional coordinates of all 80 atoms:
Li 0.1250 0.2500 0.3750  8 Se 3.02-3.06
Li 0.1250 0.3750 0.7500  8 Se 3.02-3.06
Li 0.2500 0.3750 0.1250  8 Se 3.02-3.06
Li 0.2500 0.8750 0.6250  8 Se 3.02-3.06
Li 0.3750 0.1250 0.2500  8 Se 3.02-3.06
Li 0.3750 0.7500 0.1250  8 Se 3.02-3.06
Li 0.6250 0.2500 0.8750  8 Se 3.02-3.06
Li 0.6250 0.8750 0.7500  8 Se 3.02-3.06
Li 0.7500 0.1250 0.3750  8 Se 3.02-3.06
Li 0.7500 0.6250 0.8750  8 Se 3.02-3.06
Li 0.8750 0.6250 0.2500  8 Se 3.02-3.06
Li 0.8750 0.7500 0.6250  8 Se 3.02-3.06
As 0.0000 0.0000 0.0000  6 Se 2.66
As 0.0000 0.0000 0.5000  6 Se 2.66
As 0.0000 0.5000 0.0000  6 Se 2.66
As 0.0000 0.5000 0.5000  6 Se 2.66
As 0.1250 0.7500 0.8750  4 Se 2.43
As 0.1250 0.8750 0.2500  4 Se 2.43
As 0.2500 0.1250 0.8750  4 Se 2.43
As 0.2500 0.6250 0.3750  4 Se 2.43
As 0.3750 0.2500 0.6250  4 Se 2.43
As 0.3750 0.6250 0.7500  4 Se 2.43
As 0.5000 0.0000 0.0000  6 Se 2.66
As 0.5000 0.0000 0.5000  6 Se 2.66
As 0.5000 0.5000 0.0000  6 Se 2.66
As 0.5000 0.5000 0.5000  6 Se 2.66
As 0.6250 0.3750 0.2500  4 Se 2.43
As 0.6250 0.7500 0.3750  4 Se 2.43
As 0.7500 0.3750 0.6250  4 Se 2.43
As 0.7500 0.8750 0.1250  4 Se 2.43
As 0.8750 0.1250 0.7500  4 Se 2.43
As 0.8750 0.2500 0.1250  4 Se 2.43
Se 0.0367 0.2148 0.1277  2 As 2.43-2.66
Se 0.0367 0.3219 0.9090  2 As 2.43-2.66
Se 0.0872 0.7148 0.6781  2 As 2.43-2.66
Se 0.0872 0.8723 0.4090  2 As 2.43-2.66
Se 0.0910 0.6277 0.4128  2 As 2.43-2.66
Se 0.0910 0.9633 0.6781  2 As 2.43-2.66
Se 0.1277 0.0367 0.2148  2 As 2.43-2.66
Se 0.1277 0.5910 0.9128  2 As 2.43-2.66
Se 0.1781 0.2148 0.5872  2 As 2.43-2.66
Se 0.1781 0.4633 0.5910  2 As 2.43-2.66
Se 0.2148 0.1277 0.0367  2 As 2.43-2.66
Se 0.2148 0.5872 0.1781  2 As 2.43-2.66
Se 0.2852 0.3219 0.9128  2 As 2.43-2.66
Se 0.2852 0.4633 0.3723  2 As 2.43-2.66
Se 0.3219 0.9090 0.0367  2 As 2.43-2.66
Se 0.3219 0.9128 0.2852  2 As 2.43-2.66
Se 0.3723 0.2852 0.4633  2 As 2.43-2.66
Se 0.3723 0.5872 0.9090  2 As 2.43-2.66
Se 0.4090 0.0872 0.8723  2 As 2.43-2.66
Se 0.4090 0.8219 0.5367  2 As 2.43-2.66
Se 0.4128 0.0910 0.6277  2 As 2.43-2.66
Se 0.4128 0.8219 0.7852  2 As 2.43-2.66
Se 0.4633 0.3723 0.2852  2 As 2.43-2.66
Se 0.4633 0.5910 0.1781  2 As 2.43-2.66
Se 0.5367 0.4090 0.8219  2 As 2.43-2.66
Se 0.5367 0.6277 0.7148  2 As 2.43-2.66
Se 0.5872 0.1781 0.2148  2 As 2.43-2.66
Se 0.5872 0.9090 0.3723  2 As 2.43-2.66
Se 0.5910 0.1781 0.4633  2 As 2.43-2.66
Se 0.5910 0.9128 0.1277  2 As 2.43-2.66
Se 0.6277 0.4128 0.0910  2 As 2.43-2.66
Se 0.6277 0.7148 0.5367  2 As 2.43-2.66
Se 0.6781 0.0872 0.7148  2 As 2.43-2.66
Se 0.6781 0.0910 0.9633  2 As 2.43-2.66
Se 0.7148 0.5367 0.6277  2 As 2.43-2.66
Se 0.7148 0.6781 0.0872  2 As 2.43-2.66
Se 0.7852 0.4128 0.8219  2 As 2.43-2.66
Se 0.7852 0.8723 0.9633  2 As 2.43-2.66
Se 0.8219 0.5367 0.4090  2 As 2.43-2.66
Se 0.8219 0.7852 0.4128  2 As 2.43-2.66
Se 0.8723 0.4090 0.0872  2 As 2.43-2.66
Se 0.8723 0.9633 0.7852  2 As 2.43-2.66
Se 0.9090 0.0367 0.3219  2 As 2.43-2.66
Se 0.9090 0.3723 0.5872  2 As 2.43-2.66
Se 0.9128 0.1277 0.5910  2 As 2.43-2.66
Se 0.9128 0.2852 0.3219  2 As 2.43-2.66
Se 0.9633 0.6781 0.0910  2 As 2.43-2.66
Se 0.9633 0.7852 0.8723  2 As 2.43-2.66

Computed properties:
Its symmetry is No. 230. The value obtained for the uncorrected formation energy is -191 meV per atom.

***

# 2
A relaxed Co2ReNi crystal, computed with PBE.

Unit cell a=4.0679 b=4.0679 c=4.0679 alpha=60.00 beta=60.00 gamma=60.00
With the nearest neighbours (Å) after each atom.
Fractional coordinates of all 4 atoms:
Co 0.0000 0.0000 0.0000  4 Co 2.49, 4 Ni 2.49
Co 0.2500 0.2500 0.2500  4 Re 2.49, 4 Co 2.49
Re 0.5000 0.5000 0.5000  4 Co 2.49, 4 Ni 2.49
Ni 0.7500 0.7500 0.7500  4 Re 2.49, 4 Co 2.49

Computed properties:
Its symmetry is No. 216. Its calculated formation energy is 0.9 eV per formula unit. The value obtained for the energy above the most stable polymorph in this dataset is 0.225 eV per atom.

***

# 3
A relaxed LaFe2TeAu crystal, computed with PBE.

Unit cell a=4.6207 b=4.6207 c=6.0563 alpha=90.00 beta=90.00 gamma=90.00
With the nearest neighbours (Å) after each atom.
Fractional coordinates of all 5 atoms:
La 0.0000 0.0000 0.0000  2 Te 3.03, 4 Au 3.27
Fe 0.0000 0.5000 0.5000  2 Te 2.31
Fe 0.5000 0.0000 0.5000  2 Te 2.31
Te 0.0000 0.0000 0.5000  4 Fe 2.31
Au 0.5000 0.5000 0.0000  4 La 3.27

Computed properties:
Its symmetry is No. 123. The value obtained for the uncorrected formation energy is 559 meV per atom.

***

# 4
A relaxed TcSnP crystal, computed with PBE.

Unit cell a=6.1193 b=3.1206 c=6.8202 alpha=90.00 beta=111.73 gamma=90.00
With the nearest neighbours (Å) after each atom.
Fractional coordinates of all 6 atoms:
Tc 0.0000 0.0000 0.0000  3 P 2.38-2.46
Tc 0.3641 0.5000 0.2757  3 P 2.34-2.42
Sn 0.6599 0.5000 0.6971  3 Tc 2.77-2.80
Sn 0.6874 0.0000 0.1940  1 P 2.65, 3 Tc 2.70-2.73
P 0.1502 0.0000 0.3882  3 Tc 2.34-2.46
P 0.2281 0.5000 0.8940  3 Tc 2.38-2.42

Computed properties:
Its symmetry is No. 6. Its calculated formation energy is -0.7 eV per formula unit. The value obtained for the energy above the most stable polymorph in this dataset is 0.061 eV per atom.

***

# 5
A relaxed K3Tb3YSe8 crystal, computed with PBE.

Unit cell a=8.3430 b=8.3430 c=9.2123 alpha=116.97 beta=116.97 gamma=59.97
With the nearest neighbours (Å) after each atom.
Fractional coordinates of all 15 atoms:
K 0.0000 0.0000 0.0000  6 Se 3.33-3.35
K 0.0000 0.5000 0.0000  6 Se 3.33-3.35
K 0.5000 0.0000 0.0000  6 Se 3.33-3.35
Tb 0.0000 0.5000 0.5000  6 Se 2.89-2.90
Tb 0.5000 0.0000 0.5000  6 Se 2.89-2.90
Tb 0.5000 0.5000 0.5000  6 Se 2.89-2.90
Y 0.0000 0.0000 0.5000  6 Se 2.89
Se 0.2343 0.2343 0.7030  1 Y 2.89, 2 Tb 2.89
Se 0.2343 0.7344 0.7030  1 Y 2.89, 2 Tb 2.89
Se 0.2646 0.2646 0.2939  3 Tb 2.90
Se 0.2656 0.7657 0.2970  1 Y 2.89, 2 Tb 2.89
Se 0.7344 0.2343 0.7030  1 Y 2.89, 2 Tb 2.89
Se 0.7354 0.7354 0.7061  3 Tb 2.90
Se 0.7657 0.2656 0.2970  1 Y 2.89, 2 Tb 2.89
Se 0.7657 0.7657 0.2970  1 Y 2.89, 2 Tb 2.89

Computed properties:
Its symmetry is No. 12. The value obtained for the uncorrected formation energy is -1683 meV per atom.

***

# 6
A relaxed CuIr2Br crystal, computed with PBE.

Unit cell a=2.8195 b=3.5395 c=6.9480 alpha=90.00 beta=90.00 gamma=90.00
With the nearest neighbours (Å) after each atom.
Fractional coordinates of all 4 atoms:
Cu 0.0000 0.0000 0.0000  5 Ir 2.69-2.72, 2 Br 2.78, 2 Cu 2.82
Ir 0.0000 0.0000 0.6088  6 Ir 2.59-2.82, 1 Cu 2.72, 2 Br 2.73
Ir 0.5000 0.5000 0.7909  6 Ir 2.59-2.82, 4 Cu 2.69
Br 0.0000 0.5000 0.3092  2 Ir 2.73, 2 Cu 2.78, 2 Br 2.82

Computed properties:
Its symmetry is No. 25. The value obtained for the uncorrected formation energy is 450 meV per atom. The value obtained for the energy above the most stable polymorph in this dataset is 0.000 eV per atom.

***

# 7
A relaxed TlPd2O crystal, computed with PBE.

Unit cell a=4.4717 b=4.4717 c=4.4717 alpha=60.00 beta=60.00 gamma=60.00
With the nearest neighbours (Å) after each atom.
Fractional coordinates of all 4 atoms:
Tl 0.0000 0.0000 0.0000  8 Pd 2.74
Pd 0.2500 0.2500 0.2500  4 O 2.74, 4 Tl 2.74
Pd 0.7500 0.7500 0.7500  4 O 2.74, 4 Tl 2.74
O 0.5000 0.5000 0.5000  8 Pd 2.74

Computed properties:
Its symmetry is No. 225. The value obtained for the uncorrected formation energy is 229 meV per atom. The value obtained for the energy above the most stable polymorph in this dataset is 0.415 eV per atom.

***

# 8
A relaxed ScNbAl crystal, computed with PBE.

Unit cell a=7.0054 b=7.0054 c=7.0054 alpha=156.03 beta=156.03 gamma=34.15
With the nearest neighbours (Å) after each atom.
Fractional coordinates of all 3 atoms:
Sc 0.0000 0.0000 0.0000  4 Sc 2.91, 4 Al 3.07, 4 Nb 3.15
Nb 0.6780 0.6780 0.0000  4 Al 2.90, 4 Nb 2.91, 4 Sc 3.15
Al 0.3302 0.3302 0.0000  4 Nb 2.90, 4 Al 2.91, 4 Sc 3.07

Computed properties:
Its symmetry is No. 107. Its calculated formation energy is -0.6 eV per formula unit. The value obtained for the energy above the most stable polymorph in this dataset is 0.000 eV per atom.

***

| no. | electronic total energy (eV/atom) |
| --- | --- |
| 1 | -3.732 |
| 2 | -7.874 |
| 3 | -5.095 |
| 4 | -6.814 |
| 5 | -5.118 |
| 6 | -5.423 |
| 7 | -4.199 |
| 8 | -6.922 |